(1)
MgZr2Hg at its PBEsol-relaxed geometry. Source: Alexandria, functional SCAN.

```
MgZr2Hg
1.0
3.313 0.000 0.000
0.000 4.253 0.000
0.000 0.000 5.905
Mg Zr Hg
1 2 1
Cartesian
1.656 2.126 2.952 Mg
0.000 0.000 4.455 Zr
0.000 0.000 1.450 Zr
1.656 2.126 0.000 Hg
```

Excess energy over the best structure of this formula in the dataset in eV per formula unit: 0.150
Theoretical density in g/cm³: 8.1
Space group: Pmmm
Energy of formation from the pure elements in meV per atom: -216
Volume in Å³ per atom: 20.8

(2)
Mn3Hg at its PBEsol-relaxed geometry. Source: Alexandria, functional SCAN.

```
Mn3Hg
1.0
-3.812 0.922 0.046
-0.822 -3.476 1.621
0.422 1.566 3.572
Mn Hg
3 1
Cartesian
-0.200 -0.955 2.596 Mn
-1.695 1.244 1.809 Mn
-2.317 -1.277 0.833 Mn
0.000 0.000 0.000 Hg
```

Theoretical density in g/cm³: 10.1
Space group: Pm-3m
Energy of formation from the pure elements in meV per atom: -18
Volume in Å³ per atom: 15.1

(3)
MnHg3 at its PBEsol-relaxed geometry. Source: Alexandria, functional SCAN.

```
MnHg3
1.0
2.972 0.000 0.000
0.000 4.645 0.000
-1.486 -2.323 6.036
Hg Mn
3 1
Cartesian
0.000 0.000 3.688 Hg
1.486 2.323 2.348 Hg
1.486 0.000 0.000 Hg
0.000 2.323 0.000 Mn
```

Theoretical density in g/cm³: 13.1
Space group: Immm
Energy of formation from the pure elements in meV per atom: 7
Volume in Å³ per atom: 20.8

(4)
MnHg3 at its PBEsol-relaxed geometry. Source: Alexandria, functional SCAN.

```
MnHg3
1.0
-0.716 2.489 1.879
-4.259 -1.472 -2.397
0.233 -3.151 4.262
Hg Mn
3 1
Cartesian
-2.140 -0.841 0.298 Hg
-2.602 -1.294 3.446 Hg
0.116 -1.575 2.131 Hg
-0.358 1.244 0.940 Mn
```

Theoretical density in g/cm³: 13.7
Space group: C2/m
Energy of formation from the pure elements in meV per atom: 63
Volume in Å³ per atom: 19.9

(5)
Mn3Hg at its PBEsol-relaxed geometry. Source: Alexandria, functional SCAN.

```
Mn3Hg
1.0
3.834 0.000 0.000
0.000 3.834 0.000
-1.917 -1.917 3.810
Mn Hg
3 1
Cartesian
1.917 0.000 1.905 Mn
0.000 1.917 1.905 Mn
1.917 1.917 0.000 Mn
0.000 0.000 0.000 Hg
```

Theoretical density in g/cm³: 10.8
Space group: I4/mmm
Energy of formation from the pure elements in meV per atom: -63
Volume in Å³ per atom: 14.0

(6)
Mn3Hg at its PBEsol-relaxed geometry. Source: Alexandria, functional SCAN.

```
Mn3Hg
1.0
-2.767 0.346 -4.217
2.752 -3.680 -2.108
-3.214 -3.449 1.826
Mn Hg
3 1
Cartesian
-1.384 0.173 -2.108 Mn
-1.607 -1.724 0.913 Mn
1.376 -1.840 -1.054 Mn
0.000 0.000 0.000 Hg
```

Theoretical density in g/cm³: 4.7
Space group: Pm-3m
Energy of formation from the pure elements in meV per atom: 890
Volume in Å³ per atom: 32.3

(7)
MnHg at its PBEsol-relaxed geometry. Source: Alexandria, functional SCAN.

```
MnHg
1.0
3.038 0.000 0.000
-1.519 2.631 0.000
0.000 0.000 8.826
Mn Hg
2 2
Cartesian
0.000 1.754 2.207 Mn
1.519 0.877 6.620 Mn
0.000 0.000 0.000 Hg
0.000 0.000 4.413 Hg
```

Excess energy over the best structure of this formula in the dataset in eV per formula unit: 0.262
Theoretical density in g/cm³: 12.0
Space group: P6_3/mmc
Energy of formation from the pure elements in meV per atom: 49
Volume in Å³ per atom: 17.6

(8)
MnHg at its PBEsol-relaxed geometry. Source: Alexandria, functional SCAN.

```
MnHg
1.0
3.247 0.000 0.000
0.000 3.247 0.000
0.000 0.000 3.248
Hg Mn
1 1
Cartesian
0.000 0.000 0.000 Hg
1.623 1.623 1.624 Mn
```

Excess energy over the best structure of this formula in the dataset in eV per formula unit: 0.000
Theoretical density in g/cm³: 12.4
Space group: Pm-3m
Energy of formation from the pure elements in meV per atom: -82
Volume in Å³ per atom: 17.1

(9)
MnHg at its PBEsol-relaxed geometry. Source: Alexandria, functional SCAN.

```
MnHg
1.0
4.611 0.000 0.000
2.305 3.993 0.000
2.305 1.331 3.765
Mn Hg
2 2
Cartesian
0.000 0.000 0.000 Mn
2.305 1.331 0.941 Mn
4.611 2.662 1.882 Hg
6.916 3.993 2.824 Hg
```

Excess energy over the best structure of this formula in the dataset in eV per formula unit: 0.482
Theoretical density in g/cm³: 12.2
Space group: Fd-3m
Energy of formation from the pure elements in meV per atom: 159
Volume in Å³ per atom: 17.3

(10)
MnHgMo2 at its PBEsol-relaxed geometry. Source: Alexandria, functional SCAN.

```
MnHgMo2
1.0
-0.478 2.094 -2.348
-2.265 -1.877 -1.213
-4.265 2.908 3.461
Mn Hg Mo
1 1 2
Cartesian
-4.658 2.349 0.887 Mn
-2.194 1.496 1.781 Hg
-2.301 0.742 -1.026 Mo
-4.252 2.900 3.451 Mo
```

Theoretical density in g/cm³: 11.8
Space group: P4mm
Energy of formation from the pure elements in meV per atom: 165
Volume in Å³ per atom: 15.7

(11)
MnHg2Mo at its PBEsol-relaxed geometry. Source: Alexandria, functional SCAN.

```
MnHg2Mo
1.0
2.873 0.000 0.000
0.000 4.038 0.000
0.000 0.000 5.856
Mn Hg Mo
1 2 1
Cartesian
1.437 2.019 0.000 Mn
0.000 0.000 1.440 Hg
0.000 0.000 4.416 Hg
1.437 2.019 2.928 Mo
```

Excess energy over the best structure of this formula in the dataset in eV per formula unit: 0.135
Theoretical density in g/cm³: 13.5
Space group: Pmmm
Energy of formation from the pure elements in meV per atom: 330
Volume in Å³ per atom: 17.0

(12)
MnHgMo2 at its PBEsol-relaxed geometry. Source: Alexandria, functional SCAN.

```
MnHgMo2
1.0
3.772 0.000 0.000
0.000 3.772 0.000
-1.886 -1.886 4.310
Hg Mo Mn
1 2 1
Cartesian
1.886 1.886 0.000 Hg
1.886 0.000 2.155 Mo
0.000 1.886 2.155 Mo
0.000 0.000 0.000 Mn
```

Theoretical density in g/cm³: 12.1
Space group: I4/mmm
Energy of formation from the pure elements in meV per atom: 326
Volume in Å³ per atom: 15.3

(13)
MnHg2Mo at its PBEsol-relaxed geometry. Source: Alexandria, functional SCAN.

```
MnHg2Mo
1.0
2.861 0.000 0.000
0.000 2.861 0.000
0.000 0.000 8.284
Hg Mo Mn
2 1 1
Cartesian
0.000 0.000 1.998 Hg
0.000 0.000 6.286 Hg
1.431 1.431 4.142 Mo
1.431 1.431 0.000 Mn
```

Excess energy over the best structure of this formula in the dataset in eV per formula unit: 0.000
Theoretical density in g/cm³: 13.5
Space group: P4/mmm
Energy of formation from the pure elements in meV per atom: 297
Volume in Å³ per atom: 17.0

(14)
Mn2HgMo at its PBEsol-relaxed geometry. Source: Alexandria, functional SCAN.

```
Mn2HgMo
1.0
-1.854 0.280 -2.226
-2.137 -1.942 -0.367
-6.413 4.128 3.958
Mn Mo Hg
2 1 1
Cartesian
-2.711 0.717 0.445 Mn
-7.694 1.749 0.920 Mn
-5.202 1.233 0.682 Mo
0.000 0.000 0.000 Hg
```

Theoretical density in g/cm³: 10.9
Space group: R-3m
Energy of formation from the pure elements in meV per atom: 203
Volume in Å³ per atom: 15.5

(15)
Mn2HgMo at its PBEsol-relaxed geometry. Source: Alexandria, functional SCAN.

```
Mn2HgMo
1.0
-2.363 -0.224 -1.383
1.843 -1.368 -1.510
-1.761 -6.931 4.134
Mo Mn Hg
1 2 1
Cartesian
-1.141 -4.262 0.621 Mo
-0.475 -1.870 1.116 Mn
-1.285 -5.060 3.018 Mn
-0.260 -0.796 -1.446 Hg
```

Theoretical density in g/cm³: 11.2
Space group: Cmmm
Energy of formation from the pure elements in meV per atom: 147
Volume in Å³ per atom: 15.0

(16)
SrMn2HgMo at its PBEsol-relaxed geometry. Source: Alexandria, functional SCAN.

```
SrMn2HgMo
1.0
-3.785 2.794 -1.662
-2.007 -4.015 -2.179
-2.678 -1.031 4.366
Mn Sr Hg Mo
2 1 1 1
Cartesian
-1.893 1.397 -0.831 Mn
-1.004 -2.008 -1.090 Mn
-4.235 -1.126 0.262 Sr
0.000 0.000 0.000 Hg
-1.339 -0.515 2.183 Mo
```

Theoretical density in g/cm³: 6.3
Space group: P4/mmm
Energy of formation from the pure elements in meV per atom: 885
Volume in Å³ per atom: 26.0

(17)
MnHgNO2 at its PBEsol-relaxed geometry. Source: Alexandria, functional SCAN.

```
MnHgNO2
1.0
4.061 0.000 0.000
0.000 3.917 0.000
0.000 0.000 3.917
O Hg N Mn
2 1 1 1
Cartesian
0.000 1.958 0.000 O
0.000 0.000 1.958 O
2.031 0.000 0.000 Hg
0.000 0.000 0.000 N
2.031 1.958 1.958 Mn
```

VASP energy in eV per atom: -20.64
Theoretical density in g/cm³: 8.0
Space group: P4/mmm
Volume in Å³ per atom: 12.5

(18)
MnHgSN2 at its PBEsol-relaxed geometry. Source: Alexandria, functional SCAN.

```
MnHgSN2
1.0
4.057 0.000 0.000
0.000 4.057 0.000
0.000 0.000 5.664
S Hg N Mn
1 1 2 1
Cartesian
0.000 0.000 2.832 S
0.000 0.000 0.000 Hg
2.028 0.000 0.000 N
0.000 2.028 0.000 N
2.028 2.028 2.832 Mn
```

VASP energy in eV per atom: -21.33
Theoretical density in g/cm³: 5.6
Space group: P4/mmm
Volume in Å³ per atom: 18.6

(19)
NaMn2Hg2 at its PBEsol-relaxed geometry. Source: Alexandria, functional SCAN.

```
NaMn2Hg2
1.0
3.085 0.000 0.000
0.000 3.085 0.000
-1.543 -1.543 9.521
Hg Na Mn
2 1 2
Cartesian
0.000 0.000 7.159 Hg
1.543 1.543 2.362 Hg
0.000 0.000 0.000 Na
0.000 1.543 4.761 Mn
1.543 0.000 4.761 Mn
```

Theoretical density in g/cm³: 9.8
Space group: I4/mmm
Energy of formation from the pure elements in meV per atom: 432
Volume in Å³ per atom: 18.1

(20)
NaMn3Hg at its PBEsol-relaxed geometry. Source: Alexandria, functional SCAN.

```
NaMn3Hg
1.0
-2.080 -2.560 -3.237
2.950 -3.457 0.838
-2.886 -1.689 3.190
Hg Mn Na
1 3 1
Cartesian
-1.008 -3.853 0.395 Hg
-1.443 -0.845 1.595 Mn
-1.040 -1.280 -1.618 Mn
1.475 -1.728 0.419 Mn
0.000 0.000 0.000 Na
```

Theoretical density in g/cm³: 6.5
Space group: Pm-3m
Energy of formation from the pure elements in meV per atom: 1285
Volume in Å³ per atom: 19.7

(21)
Na3MnHg at its PBEsol-relaxed geometry. Source: Alexandria, functional SCAN.

```
Na3MnHg
1.0
-1.313 5.110 -1.778
-4.659 -1.998 -2.303
-2.751 0.945 4.747
Na Hg Mn
3 1 1
Cartesian
-0.656 2.555 -0.889 Na
-2.329 -0.999 -1.151 Na
-1.376 0.472 2.374 Na
0.000 0.000 0.000 Hg
-4.361 2.029 0.333 Mn
```

Theoretical density in g/cm³: 3.1
Space group: Pm-3m
Energy of formation from the pure elements in meV per atom: 358
Volume in Å³ per atom: 34.5

(22)
MnNb3Hg at its PBEsol-relaxed geometry. Source: Alexandria, functional SCAN.

```
MnNb3Hg
1.0
-3.875 -1.182 2.919
2.854 -3.274 2.463
1.331 3.580 3.216
Hg Nb Mn
1 3 1
Cartesian
0.000 0.000 0.000 Hg
1.427 -1.637 1.232 Nb
-1.937 -0.591 1.460 Nb
0.666 1.790 1.608 Nb
0.155 -0.438 4.299 Mn
```

Theoretical density in g/cm³: 7.1
Space group: Pm-3m
Energy of formation from the pure elements in meV per atom: 1840
Volume in Å³ per atom: 24.9

(23)
Mn3NiHg at its PBEsol-relaxed geometry. Source: Alexandria, functional SCAN.

```
Mn3NiHg
1.0
-2.311 -4.208 0.749
2.162 -1.886 -3.922
3.687 -1.532 2.769
Mn Hg Ni
3 1 1
Cartesian
1.843 -0.766 1.385 Mn
-1.156 -2.104 0.375 Mn
1.081 -0.943 -1.961 Mn
0.000 0.000 0.000 Hg
1.769 -3.813 -0.202 Ni
```

Theoretical density in g/cm³: 6.1
Space group: Pm-3m
Energy of formation from the pure elements in meV per atom: 1142
Volume in Å³ per atom: 22.9

(24)
MnNi2Hg at its PBEsol-relaxed geometry. Source: Alexandria, functional SCAN.

```
MnNi2Hg
1.0
3.884 0.000 0.000
-1.942 4.003 -0.013
0.000 1.895 3.390
Ni Mn Hg
2 1 1
Cartesian
0.000 2.475 0.841 Ni
1.942 3.423 2.536 Ni
1.942 0.947 1.695 Mn
0.000 0.000 0.000 Hg
```

Theoretical density in g/cm³: 11.7
Space group: I4/mmm
Energy of formation from the pure elements in meV per atom: -48
Volume in Å³ per atom: 13.2

(25)
MnNi2Hg at its PBEsol-relaxed geometry. Source: Alexandria, functional SCAN.

```
MnNi2Hg
1.0
4.231 0.000 0.000
2.115 3.664 0.000
2.115 1.221 3.454
Ni Hg Mn
2 1 1
Cartesian
0.000 0.000 0.000 Ni
6.346 3.664 2.591 Ni
4.231 2.443 1.727 Hg
2.115 1.221 0.864 Mn
```

Theoretical density in g/cm³: 11.6
Space group: F-43m
Energy of formation from the pure elements in meV per atom: 94
Volume in Å³ per atom: 13.4

(26)
MnNi2Hg at its PBEsol-relaxed geometry. Source: Alexandria, functional SCAN.

```
MnNi2Hg
1.0
2.992 0.000 0.000
0.000 2.992 0.000
0.000 0.000 5.922
Hg Ni Mn
1 2 1
Cartesian
1.496 1.496 0.000 Hg
0.000 0.000 4.245 Ni
0.000 0.000 1.678 Ni
1.496 1.496 2.961 Mn
```

Theoretical density in g/cm³: 11.7
Space group: P4/mmm
Energy of formation from the pure elements in meV per atom: -62
Volume in Å³ per atom: 13.3

(27)
MnNi2Hg at its PBEsol-relaxed geometry. Source: Alexandria, functional SCAN.

```
MnNi2Hg
1.0
-2.320 0.110 2.015
2.005 -0.221 2.321
0.419 5.637 0.176
Ni Hg Mn
2 1 1
Cartesian
0.418 5.630 0.175 Ni
-0.066 1.179 2.207 Ni
0.204 2.750 0.086 Hg
0.175 4.421 2.308 Mn
```

Theoretical density in g/cm³: 11.6
Space group: P4mm
Energy of formation from the pure elements in meV per atom: 36
Volume in Å³ per atom: 13.4

(28)
MnNi2Hg at its PBEsol-relaxed geometry. Source: Alexandria, functional SCAN.

```
MnNi2Hg
1.0
-3.062 1.632 -0.527
-1.732 -2.443 2.499
0.795 2.440 2.937
Mn Ni Hg
1 2 1
Cartesian
-1.531 0.816 -0.263 Mn
0.398 1.220 1.469 Ni
-0.866 -1.222 1.249 Ni
-1.999 0.814 2.455 Hg
```

Theoretical density in g/cm³: 11.6
Space group: P4/mmm
Energy of formation from the pure elements in meV per atom: -63
Volume in Å³ per atom: 13.3

(29)
Mn2HgO4 at its PBEsol-relaxed geometry. Source: Alexandria, functional SCAN.

```
Mn2HgO4
1.0
-1.305 -2.612 5.076
5.967 -0.852 -2.282
4.305 2.969 2.635
Mn O Hg
4 8 2
Cartesian
1.964 -1.385 4.859 Mn
2.617 -0.079 2.321 Mn
5.600 -0.505 1.180 Mn
7.752 0.980 2.497 Mn
3.996 1.048 1.567 O
4.664 -0.533 -0.513 O
6.536 -0.477 2.873 O
3.069 0.058 4.197 O
7.092 0.635 0.712 O
4.109 -1.645 1.648 O
1.237 -1.205 3.075 O
2.164 -0.216 0.445 O
5.233 -0.158 4.642 Hg
0.000 0.000 0.000 Hg
```

VASP energy in eV per atom: -20.13
Theoretical density in g/cm³: 7.3
Space group: I4_1/amd
Volume in Å³ per atom: 12.1

(30)
MnHgP2O at its PBEsol-relaxed geometry. Source: Alexandria, functional SCAN.

```
MnHgP2O
1.0
-1.353 1.868 3.265
-2.690 -3.996 1.172
3.812 -1.801 2.610
Hg O P Mn
1 1 2 1
Cartesian
0.000 0.000 0.000 Hg
-0.676 0.934 1.632 O
1.906 -0.900 1.305 P
-1.345 -1.998 0.586 P
-0.116 -1.965 3.523 Mn
```

VASP energy in eV per atom: -21.76
Theoretical density in g/cm³: 5.6
Space group: P4/mmm
Volume in Å³ per atom: 19.7